Th2InN: optimized geometry, PBE-GGA.

Summary:
energy: -7.301 eV per atom
ΔE_f (raw): -825 meV per atom

CIF file:
```
data_Th2InN
_chemical_formula_sum 'Th8 In4 N4'
_space_group_name_H-M_alt 'C 1 2/m 1'
_space_group_IT_number 12
_space_group_name_Hall '-C 2y'
_cell_length_a 6.7009
_cell_length_b 6.7009
_cell_length_c 9.2200
_cell_angle_alpha 90.00
_cell_angle_beta 90.04
_cell_angle_gamma 90.00
loop_
_atom_site_label
_atom_site_type_symbol
_atom_site_fract_x
_atom_site_fract_y
_atom_site_fract_z
Th1 Th 0.0000 0.2500 0.0000
Th2 Th 0.2504 0.0000 0.3346
In1 In 0.2495 0.0000 0.7031
N1 N 0.2502 0.0000 0.0865
```